ScMoF2 | GGA+U | relaxed

a = 4.4409 Å, b = 4.4409 Å, c = 4.4409 Å
α = 60.00°, β = 60.00°, γ = 60.00°
Last column: nearest neighbours and their distance in Å.
Fractional coordinates of all 4 atoms:
Sc: 0.0000 0.0000 0.0000  8 F 2.72
Mo: 0.5000 0.5000 0.5000  8 F 2.72
F: 0.2500 0.2500 0.2500  4 Mo 2.72, 4 Sc 2.72
F: 0.7500 0.7500 0.7500  4 Mo 2.72, 4 Sc 2.72

Summary:
N(E_F): 1.03 states/eV per atom
theoretical density: 4.80 g cm⁻³
distance to the lowest polymorph of the same formula: 2.44 eV per formula unit
symmetry: Fm-3m